Computed, not measured: a geometry-optimized In2IrPt structure at the PBE level of DFT.

```
In2IrPt
1.0
3.113 0.000 0.000
-1.556 2.696 0.000
0.000 0.000 26.825
In Ir Pt
6 3 3
Direct
0.000 0.000 0.000 In
0.000 0.000 0.236 In
0.333 0.667 0.667 In
0.333 0.667 0.903 In
0.667 0.333 0.333 In
0.667 0.333 0.570 In
0.000 0.000 0.492 Ir
0.333 0.667 0.159 Ir
0.667 0.333 0.825 Ir
0.000 0.000 0.746 Pt
0.333 0.667 0.413 Pt
0.667 0.333 0.079 Pt
```

Calculated values
raw total energy: -4.915 eV/atom
energy of formation from the pure elements: 180 meV/atom
total magnetization: 0.00 μB per cell
space group: R3m (160)
relative energy among the computed polymorphs: 38.7 kJ per mole of atoms